(1)
A plane-wave DFT calculation with PBE was carried out for crystalline AlPtN2F at its relaxed geometry.

Output
ΔE_f (raw)	0.403	eV per formula unit
E above lowest polymorph	0.000	eV per formula unit
magnetic moment	0.00	μB/atom

The structure in CIF format:
```
data_AlPtN2F
_chemical_formula_sum 'Al1 Pt1 N2 F1'
_cell_length_a 3.908
_cell_length_b 3.908
_cell_length_c 3.441
_cell_angle_alpha 90.00
_cell_angle_beta 90.00
_cell_angle_gamma 90.00
_symmetry_space_group_name_H-M 'P 4/m m m'
_symmetry_Int_Tables_number 123
_symmetry_space_group_name_Hall '-P 4 2'
loop_
_atom_site_label
_atom_site_fract_x
_atom_site_fract_y
_atom_site_fract_z
_atom_site_occupancy
Al1 0.000 0.000 0.000 1
Pt1 0.500 0.500 0.500 1
N1 0.000 0.500 0.000 1
F1 0.000 0.000 0.500 1
```



(2)
A plane-wave DFT calculation with PBE was carried out for crystalline Ba4Pa3VN8 at its relaxed geometry.

Output
ΔE_f (raw)	-16.793	eV per formula unit
magnetic moment	0.11	μB/atom

The structure in CIF format:
```
data_Ba4Pa3VN8
_chemical_formula_sum 'Ba12 Pa9 V3 N24'
_cell_length_a 7.1213
_cell_length_b 7.1213
_cell_length_c 19.1905
_cell_angle_alpha 90.00
_cell_angle_beta 90.00
_cell_angle_gamma 120.00
_symmetry_space_group_name_H-M 'R -3 m'
_symmetry_Int_Tables_number 166
_symmetry_space_group_name_Hall '-R 3 2"'
loop_
_atom_site_label
_atom_site_fract_x
_atom_site_fract_y
_atom_site_fract_z
_atom_site_occupancy
Ba1 0.0000 0.0000 0.0000 1
Ba2 0.0000 0.5000 0.0000 1
Pa1 0.0000 0.5000 0.5000 1
V1 0.0000 0.0000 0.5000 1
N1 0.0000 0.0000 0.2249 1
N2 0.0012 0.5006 0.7755 1
```



(3)
A plane-wave DFT calculation with PBE was carried out for crystalline Cs3Rb5I12 at its relaxed geometry.

Output
ΔE_f (raw)	-20.230	eV per formula unit
magnetic moment	0.21	μB/atom

The structure in CIF format:
```
data_Cs3Rb5I12
_chemical_formula_sum 'Cs24 Rb40 I96'
_cell_length_a 21.912
_cell_length_b 21.912
_cell_length_c 21.912
_cell_angle_alpha 90.00
_cell_angle_beta 90.00
_cell_angle_gamma 90.00
_symmetry_space_group_name_H-M 'I a -3 d'
_symmetry_Int_Tables_number 230
_symmetry_space_group_name_Hall '-I 4bd 2c 3'
loop_
_atom_site_label
_atom_site_fract_x
_atom_site_fract_y
_atom_site_fract_z
_atom_site_occupancy
Cs1 0.000 0.250 0.125 1
Rb1 0.000 0.000 0.000 1
Rb2 0.000 0.250 0.375 1
I1 0.012 0.079 0.663 1
```